No. 1
A relaxed structure of Sm12Co5Ag. Source: Alexandria via LeMat-Bulk, functional PBE.

The structure in POSCAR format:
```
Sm12Co5Ag
1.0
-4.807 4.874 4.947
4.807 -4.874 4.947
4.807 4.874 -4.947
Sm Co Ag
12 5 1
Direct
0.012 0.203 0.808 Sm
0.183 0.295 0.478 Sm
0.183 0.705 0.889 Sm
0.317 0.011 0.695 Sm
0.317 0.622 0.305 Sm
0.395 0.203 0.192 Sm
0.605 0.797 0.808 Sm
0.683 0.378 0.695 Sm
0.683 0.989 0.305 Sm
0.817 0.295 0.111 Sm
0.817 0.705 0.522 Sm
0.988 0.797 0.192 Sm
0.000 0.000 0.000 Co
0.113 0.613 0.500 Co
0.377 0.000 0.377 Co
0.623 0.000 0.623 Co
0.887 0.387 0.500 Co
0.500 0.500 0.000 Ag
```

Output
VASP energy: -97.26 eV per cell
Magnetization: 0.0 μB/f.u.
ΔE_f: -125 meV per atom

=====

No. 2
A relaxed structure of Sm3CoAg. Source: Alexandria via LeMat-Bulk, functional PBE.

The structure in POSCAR format:
```
Sm3CoAg
1.0
5.244 0.000 0.000
0.000 5.244 0.000
0.000 0.000 5.244
Sm Co Ag
3 1 1
Direct
0.000 0.000 0.500 Sm
0.000 0.500 0.000 Sm
0.500 0.000 0.000 Sm
0.000 0.000 0.000 Co
0.500 0.500 0.500 Ag
```

Output
Energy above the lowest structure with this stoichiometry: 166 meV per atom
VASP energy: -24.04 eV per cell
Magnetization: 0.0 μB/f.u.
ΔE_f: 16 meV per atom

=====

No. 3
A relaxed structure of Sm5CoAg4. Source: Alexandria via LeMat-Bulk, functional PBE.

The structure in POSCAR format:
```
Sm5CoAg4
1.0
3.602 0.000 0.000
0.000 3.602 0.000
0.000 0.000 18.838
Sm Co Ag
5 1 4
Direct
0.000 0.000 0.000 Sm
0.000 0.000 0.205 Sm
0.000 0.000 0.412 Sm
0.000 0.000 0.588 Sm
0.000 0.000 0.795 Sm
0.500 0.500 0.500 Co
0.500 0.500 0.102 Ag
0.500 0.500 0.307 Ag
0.500 0.500 0.693 Ag
0.500 0.500 0.898 Ag
```

Output
VASP energy: -44.30 eV per cell
Magnetization: 0.9 μB/f.u.
ΔE_f: -219 meV per atom

=====

No. 4
A relaxed structure of Sm8Co2Ag. Source: Alexandria via LeMat-Bulk, functional PBE.

The structure in POSCAR format:
```
Sm8Co2Ag
1.0
4.205 -6.651 0.000
4.205 6.651 0.000
-1.520 0.000 5.480
Sm Co Ag
8 2 1
Direct
0.081 0.337 0.573 Sm
0.240 0.760 0.000 Sm
0.337 0.081 0.573 Sm
0.388 0.388 0.192 Sm
0.612 0.612 0.808 Sm
0.663 0.919 0.427 Sm
0.760 0.240 0.000 Sm
0.919 0.663 0.427 Sm
0.292 0.708 0.500 Co
0.708 0.292 0.500 Co
0.000 0.000 0.000 Ag
```

Output
VASP energy: -54.88 eV per cell
Magnetization: 0.0 μB/f.u.
ΔE_f: -6 meV per atom

=====

No. 5
A relaxed structure of Sm12Co6Ag. Source: Alexandria via LeMat-Bulk, functional PBE.

The structure in POSCAR format:
```
Sm12Co6Ag
1.0
-4.925 4.925 4.925
4.925 -4.925 4.925
4.925 4.925 -4.925
Sm Co Ag
12 6 1
Direct
0.111 0.806 0.305 Sm
0.194 0.305 0.499 Sm
0.194 0.695 0.889 Sm
0.305 0.111 0.806 Sm
0.305 0.499 0.194 Sm
0.499 0.194 0.305 Sm
0.501 0.806 0.695 Sm
0.695 0.501 0.806 Sm
0.695 0.889 0.194 Sm
0.806 0.305 0.111 Sm
0.806 0.695 0.501 Sm
0.889 0.194 0.695 Sm
0.112 0.612 0.500 Co
0.388 0.500 0.888 Co
0.500 0.112 0.612 Co
0.500 0.888 0.388 Co
0.612 0.500 0.112 Co
0.888 0.388 0.500 Co
0.000 0.000 0.000 Ag
```

Output
VASP energy: -104.76 eV per cell
Magnetization: 0.0 μB/f.u.
ΔE_f: -139 meV per atom

=====

No. 6
A relaxed structure of Sm8CoAg2. Source: Alexandria via LeMat-Bulk, functional PBE.

The structure in POSCAR format:
```
Sm8CoAg2
1.0
8.812 -2.645 0.000
8.812 2.645 0.000
-1.854 0.000 6.664
Sm Co Ag
8 1 2
Direct
0.025 0.025 0.289 Sm
0.202 0.202 0.811 Sm
0.346 0.346 0.531 Sm
0.412 0.412 0.067 Sm
0.588 0.588 0.933 Sm
0.654 0.654 0.469 Sm
0.798 0.798 0.189 Sm
0.975 0.975 0.711 Sm
0.500 0.500 0.500 Co
0.187 0.187 0.227 Ag
0.813 0.813 0.773 Ag
```

Output
VASP energy: -51.38 eV per cell
Magnetization: 0.0 μB/f.u.
ΔE_f: -75 meV per atom

=====

No. 7
A relaxed structure of SmCo4Ag. Source: Alexandria via LeMat-Bulk, functional PBE.

The structure in POSCAR format:
```
SmCo4Ag
1.0
5.108 0.000 0.000
-2.554 4.424 0.000
0.000 0.000 4.112
Sm Co Ag
1 4 1
Direct
0.000 0.000 0.000 Sm
0.510 0.020 0.500 Co
0.510 0.490 0.500 Co
0.667 0.333 0.000 Co
0.980 0.490 0.500 Co
0.333 0.667 0.000 Ag
```

Output
Energy above the lowest structure with this stoichiometry: 59 meV per atom
VASP energy: -35.58 eV per cell
Magnetization: 5.3 μB/f.u.
ΔE_f: 68 meV per atom

=====

No. 8
A relaxed structure of Sm6CoAg2. Source: Alexandria via LeMat-Bulk, functional PBE.

The structure in POSCAR format:
```
Sm6CoAg2
1.0
-4.836 4.959 5.129
4.836 -4.959 5.129
4.836 4.959 -5.129
Sm Co Ag
12 2 4
Direct
0.082 0.249 0.833 Sm
0.182 0.270 0.452 Sm
0.182 0.730 0.912 Sm
0.274 0.607 0.332 Sm
0.274 0.942 0.668 Sm
0.417 0.249 0.167 Sm
0.583 0.751 0.833 Sm
0.726 0.058 0.332 Sm
0.726 0.393 0.668 Sm
0.818 0.270 0.088 Sm
0.818 0.730 0.548 Sm
0.918 0.751 0.167 Sm
0.000 0.000 0.000 Co
0.000 0.500 0.500 Co
0.353 0.000 0.353 Ag
0.500 0.362 0.862 Ag
0.500 0.638 0.138 Ag
0.647 0.000 0.647 Ag
```

Output
Energy above the lowest structure with this stoichiometry: 40 meV per atom
VASP energy: -83.45 eV per cell
Magnetization: 0.2 μB/f.u.
ΔE_f: -67 meV per atom

=====

No. 9
A relaxed structure of Sm2Co2Ag. Source: Alexandria via LeMat-Bulk, functional PBE.

The structure in POSCAR format:
```
Sm2Co2Ag
1.0
1.938 -6.896 0.000
1.938 6.896 0.000
0.000 0.000 3.923
Sm Co Ag
2 2 1
Direct
0.134 0.866 0.000 Sm
0.866 0.134 0.000 Sm
0.291 0.709 0.500 Co
0.709 0.291 0.500 Co
0.500 0.500 0.500 Ag
```

Output
VASP energy: -27.40 eV per cell
Magnetization: 1.4 μB/f.u.
ΔE_f: -180 meV per atom

=====

No. 10
A relaxed structure of Sm2CoAg. Source: Alexandria via LeMat-Bulk, functional PBE.

The structure in POSCAR format:
```
Sm2CoAg
1.0
1.973 1.139 7.488
-1.973 1.139 7.488
0.000 -2.278 7.488
Sm Co Ag
2 1 1
Direct
0.000 0.000 0.000 Sm
0.199 0.199 0.199 Sm
0.600 0.600 0.600 Co
0.765 0.765 0.765 Ag
```

Output
Energy above the lowest structure with this stoichiometry: 82 meV per atom
VASP energy: -19.70 eV per cell
Magnetization: 0.0 μB/f.u.
ΔE_f: -76 meV per atom

=====

No. 11
A relaxed structure of Sm2CoAg. Source: Alexandria via LeMat-Bulk, functional PBE.

The structure in POSCAR format:
```
Sm2CoAg
1.0
0.000 3.572 3.572
3.572 0.000 3.572
3.572 3.572 0.000
Sm Co Ag
2 1 1
Direct
0.250 0.250 0.250 Sm
0.750 0.750 0.750 Sm
0.000 0.000 0.000 Co
0.500 0.500 0.500 Ag
```

Output
Energy above the lowest structure with this stoichiometry: 59 meV per atom
VASP energy: -19.79 eV per cell
Magnetization: 0.5 μB/f.u.
ΔE_f: -99 meV per atom